Entry from the Alexandria database: a relaxed MnCr2HgW crystal (PBE).

Results
Energy above the most stable polymorph in this dataset, meV/atom: 0
D(E_F), states/eV per atom: 1.43
Magnetic moment, μB per atom: 0.00

Cell and atoms, written as POSCAR:
```
MnCr2HgW
1.0
4.250 0.000 0.000
0.000 4.536 0.000
0.000 0.000 4.250
Hg Mn W Cr
1 1 1 2
Direct
0.500 0.500 0.500
0.000 0.000 0.000
0.000 0.500 0.000
0.000 0.000 0.500
0.500 0.000 0.000
```